Record 1
3
Lattice="-1.756 1.756 6.457 1.756 -1.756 6.457 1.756 1.756 -6.457" Properties=species:S:1:pos:R:3 comment="TlTePd (PBE, optimized geometry)" e_form_raw_mev_per_atom=-138.7 m_tot_mub_per_cell=0.000 dos_at_fermi_per_ev_cell=2.2 e_tot_ev_per_cell=-11.1 pbc="T T T"
Tl 0.000 0.000 0.000
Te 0.000 0.000 9.484
Pd 0.000 0.000 4.193

---

Record 2
5
Lattice="5.039 0.000 0.000 0.000 5.039 0.000 0.000 0.000 5.636" Properties=species:S:1:pos:R:3 comment="SrBiPCl2 (PBE, optimized geometry)" relative_energy_mev_per_atom=140 e_form_raw_mev_per_atom=-518.7 m_tot_mub_per_cell=0.000 dos_at_fermi_per_ev_cell=3.1 e_tot_ev_per_cell=-17.3 pbc="T T T"
Sr 0.000 0.000 0.000
Bi 2.519 2.519 0.000
P 2.519 2.519 2.818
Cl 0.000 2.519 2.818
Cl 2.519 0.000 2.818

---

Record 3
10
Lattice="6.958 0.000 0.000 0.000 6.958 0.000 0.000 0.000 2.582" Properties=species:S:1:pos:R:3 comment="MgCo2Ni2 (PBE, optimized geometry)" relative_energy_mev_per_atom=14 formation_energy_ev_per_atom=0.0934 m_tot_mub_per_cell=8.648 dos_at_fermi_per_ev_cell=13.7 e_tot_ev_per_cell=-53.8 pbc="T T T"
Mg 0.000 0.000 0.000
Mg 3.479 3.479 0.000
Co 1.200 2.279 1.291
Co 2.279 5.758 1.291
Co 4.679 1.200 1.291
Co 5.758 4.679 1.291
Ni 0.856 4.335 0.000
Ni 2.623 0.856 0.000
Ni 4.335 6.102 0.000
Ni 6.102 2.623 0.000

---

Record 4
8
Lattice="-2.579 2.579 5.073 2.579 -2.579 5.073 2.579 2.579 -5.073" Properties=species:S:1:pos:R:3 comment="AlPt2C (PBE, optimized geometry)" relative_energy_mev_per_atom=0 formation_energy_ev_per_atom=0.1157 m_tot_mub_per_cell=0.000 dos_at_fermi_per_ev_cell=3.2 e_tot_ev_per_cell=-49.2 pbc="T T T"
Al 0.000 0.000 0.000
Al 0.000 2.579 2.536
Pt 1.289 -0.875 3.805
Pt 1.704 1.289 1.268
Pt 1.289 3.454 -1.268
Pt 0.875 1.289 6.341
C 2.579 0.000 2.536
C 0.000 0.000 5.073

---

Record 5
4
Lattice="1.984 1.145 11.978 -1.984 1.145 11.978 0.000 -2.291 11.978" Properties=species:S:1:pos:R:3 comment="Ba2LaMn (PBE, optimized geometry)" relative_energy_mev_per_atom=257 formation_energy_ev_per_atom=0.5408 m_tot_mub_per_cell=3.939 dos_at_fermi_per_ev_cell=5.1 e_tot_ev_per_cell=-15.8 pbc="T T T"
Ba 0.000 0.000 8.494
Ba 0.000 0.000 27.439
La 0.000 0.000 0.000
Mn 0.000 0.000 17.967

---

Record 6
5
Lattice="4.683 0.000 0.000 0.000 4.683 0.000 0.000 0.000 3.777" Properties=species:S:1:pos:R:3 comment="Hf2GaBP (PBE, optimized geometry)" formation_energy_ev_per_atom=-0.2006 m_tot_mub_per_cell=0.000 dos_at_fermi_per_ev_cell=6.4 e_tot_ev_per_cell=-36.0 pbc="T T T"
Hf 0.000 2.341 0.000
Hf 2.341 0.000 0.000
Ga 0.000 0.000 1.888
B 0.000 0.000 0.000
P 2.341 2.341 1.888

---

Record 7
4
Lattice="2.034 1.174 5.163 -2.034 1.174 5.163 0.000 -2.349 5.163" Properties=species:S:1:pos:R:3 comment="PmBeZn2 (PBE, optimized geometry)" formation_energy_ev_per_atom=-0.1484 m_tot_mub_per_cell=0.000 dos_at_fermi_per_ev_cell=3.3 e_tot_ev_per_cell=-11.6 pbc="T T T"
Pm 0.000 0.000 0.000
Be 0.000 0.000 7.745
Zn 0.000 0.000 3.153
Zn 0.000 0.000 12.336

---

Record 8
4
Lattice="3.166 0.000 0.000 0.000 4.590 0.000 0.000 0.000 5.504" Properties=species:S:1:pos:R:3 comment="LiTl2Os (PBE, optimized geometry)" relative_energy_mev_per_atom=204 formation_energy_ev_per_atom=0.6482 m_tot_mub_per_cell=0.000 dos_at_fermi_per_ev_cell=2.6 e_tot_ev_per_cell=-15.3 pbc="T T T"
Li 0.000 0.000 0.000
Tl 0.000 2.295 2.752
Tl 1.583 2.295 0.000
Os 1.583 0.000 2.752

---

Record 9
20
Lattice="6.449 0.000 0.000 0.000 9.119 0.000 0.000 0.000 6.444" Properties=species:S:1:pos:R:3 comment="Rb2ErZnF6 (PBE, optimized geometry)" e_form_raw_mev_per_atom=-2948.9 m_tot_mub_per_cell=1.823 dos_at_fermi_per_ev_cell=3.7 e_tot_ev_per_cell=-97.0 pbc="T T T"
Rb 1.612 0.001 1.609
Rb 1.612 4.558 1.609
Rb 4.836 9.118 4.835
Rb 4.836 4.560 4.835
Er 1.612 2.280 4.827
Er 4.836 6.839 1.617
Zn 1.612 6.839 4.832
Zn 4.836 2.280 1.611
F 0.085 2.280 3.297
F 0.085 2.280 6.354
F 1.612 0.119 4.826
F 1.612 4.440 4.826
F 3.139 2.280 3.297
F 3.139 2.280 6.354
F 3.310 6.839 0.090
F 3.310 6.839 3.146
F 4.836 4.679 1.618
F 4.836 9.000 1.618
F 6.363 6.839 0.090
F 6.363 6.839 3.146

---

Record 10
4
Lattice="2.220 1.282 7.211 -2.220 1.282 7.211 0.000 -2.564 7.211" Properties=species:S:1:pos:R:3 comment="Sn2SbTe (PBE, optimized geometry)" relative_energy_mev_per_atom=2 e_form_raw_mev_per_atom=-110.1 m_tot_mub_per_cell=0.000 dos_at_fermi_per_ev_cell=2.4 e_tot_ev_per_cell=-15.7 pbc="T T T"
Sn 0.000 0.000 5.316
Sn 0.000 0.000 16.316
Sb 0.000 0.000 10.816
Te 0.000 0.000 0.000